[1]
# Nb2Tl2CrSe6 | Alexandria | GGA-PBE | relaxed
# Calculated total energy ... -5.6450 eV/atom
# Crystal system ... monoclinic
# Formation energy (no corrections) ... -14.03 kcal/mol of atoms
data_Nb2Tl2CrSe6
_cell_length_a 6.237
_cell_length_b 10.953
_cell_length_c 8.414
_cell_angle_alpha 90.00
_cell_angle_beta 102.52
_cell_angle_gamma 90.00
_space_group_name_H-M_alt 'C 1 2/m 1'
_space_group_IT_number 12
loop_
_space_group_symop_operation_xyz
'x,y,z'
'-x,-y,-z'
'-x,y,-z'
'x,-y,z'
'x+1/2,y+1/2,z'
'-x+1/2,-y+1/2,-z'
'-x+1/2,y+1/2,-z'
'x+1/2,-y+1/2,z'
loop_
_atom_site_label
_atom_site_fract_x
_atom_site_fract_y
_atom_site_fract_z
Nb1 0.000 0.135 0.000
Tl1 0.000 0.314 0.500
Cr1 0.000 0.500 0.000
Se1 0.210 0.332 0.177
Se2 0.246 0.500 0.788

[2]
# Y2ZrFeCo | Alexandria | GGA-PBE | relaxed
# Calculated total energy ... -6.8795 eV/atom
# Crystal system ... tetragonal
# DFT formation energy ... 255 kJ/mol of formula units
data_Y2ZrFeCo
_cell_length_a 5.169
_cell_length_b 5.169
_cell_length_c 4.261
_cell_angle_alpha 90.00
_cell_angle_beta 90.00
_cell_angle_gamma 90.00
_space_group_name_H-M_alt 'P 4/m m m'
_space_group_IT_number 123
_space_group_name_Hall '-P 4 2'
loop_
_atom_site_label
_atom_site_fract_x
_atom_site_fract_y
_atom_site_fract_z
Y1 0.000 0.500 0.000
Zr1 0.000 0.000 0.500
Fe1 0.500 0.500 0.500
Co1 0.500 0.500 0.000

[3]
# Tm2Cu9Sn | Alexandria | GGA-PBE | relaxed
# Calculated total energy ... -4.2901 eV/atom
# Crystal system ... trigonal
# DFT formation energy ... -161 kJ/mol of formula units
data_Tm2Cu9Sn
_cell_length_a 5.0935
_cell_length_b 5.0935
_cell_length_c 24.6619
_cell_angle_alpha 90.00
_cell_angle_beta 90.00
_cell_angle_gamma 120.00
_space_group_name_H-M_alt 'R -3 m'
_space_group_IT_number 166
_space_group_name_Hall '-R 3 2"'
loop_
_atom_site_label
_atom_site_fract_x
_atom_site_fract_y
_atom_site_fract_z
Tm1 0.0000 0.0000 0.1372
Cu1 0.0000 0.0000 0.3330
Cu2 0.0000 0.0000 0.5000
Cu3 0.0028 0.5014 0.9166
Sn1 0.0000 0.0000 0.0000

[4]
# ZrAl2CI | Alexandria | GGA-PBE | relaxed
# Calculated total energy ... -3.5119 eV/atom
# Crystal system ... tetragonal
# Formation energy (no corrections) ... 42.65 kcal/mol of atoms
data_ZrAl2CI
_cell_length_a 5.520
_cell_length_b 5.520
_cell_length_c 5.477
_cell_angle_alpha 90.00
_cell_angle_beta 90.00
_cell_angle_gamma 90.00
_space_group_name_H-M_alt 'P 4/m m m'
_space_group_IT_number 123
_space_group_name_Hall '-P 4 2'
loop_
_atom_site_label
_atom_site_fract_x
_atom_site_fract_y
_atom_site_fract_z
Zr1 0.000 0.000 0.000
Al1 0.000 0.500 0.000
C1 0.500 0.500 0.500
I1 0.000 0.000 0.500